(1)
# YLuSe3, optimized geometry, DFT GGA-PBE
# Distance to the lowest polymorph of the same formula (eV per atom): 0.211
# Formation energy without anion corrections (eV/atom): -1.67
# ρ (Mg/m³): 6.456
data_YLuSe3
_space_group_name_H-M_alt 'P 1'
_space_group_IT_number 1
_cell_length_a 3.753
_cell_length_b 9.087
_cell_length_c 8.434
_cell_angle_alpha 90.00
_cell_angle_beta 116.43
_cell_angle_gamma 90.00
loop_
_space_group_symop_operation_xyz
'x,y,z'
loop_
_atom_site_label
_atom_site_type_symbol
_atom_site_fract_x
_atom_site_fract_y
_atom_site_fract_z
_atom_site_occupancy
Y1 Y 0.828 0.750 0.578 1
Se1 Se 0.081 0.575 0.331 1
Y2 Y 0.172 0.250 0.422 1
Lu1 Lu 0.617 0.250 0.867 1
Se2 Se 0.613 0.750 0.863 1
Se3 Se 0.919 0.075 0.669 1
Lu2 Lu 0.383 0.750 0.133 1
Se4 Se 0.081 0.925 0.331 1
Se5 Se 0.919 0.425 0.669 1
Se6 Se 0.387 0.250 0.137 1


(2)
# ErTmCu2Ge2, optimized geometry, DFT GGA-PBE
# Formation enthalpy at 0 K (meV/atom): -675
# ρ (Mg/m³): 9.016
data_ErTmCu2Ge2
_space_group_name_H-M_alt 'P 1'
_space_group_IT_number 1
_cell_length_a 4.217
_cell_length_b 4.217
_cell_length_c 7.278
_cell_angle_alpha 90.00
_cell_angle_beta 90.00
_cell_angle_gamma 120.00
loop_
_space_group_symop_operation_xyz
'x,y,z'
loop_
_atom_site_label
_atom_site_type_symbol
_atom_site_fract_x
_atom_site_fract_y
_atom_site_fract_z
_atom_site_occupancy
Ge1 Ge 0.333 0.667 0.251 1
Cu1 Cu 0.333 0.667 0.746 1
Cu2 Cu 0.667 0.333 0.254 1
Er1 Er 0.000 0.000 0.000 1
Ge2 Ge 0.667 0.333 0.749 1
Tm1 Tm 0.000 0.000 0.500 1